1.
Computed, not measured: crystalline PrSmSe4 at its relaxed geometry at the PBE level of DFT.

Cell: 4.150 4.150 8.578 Å, 90.00 90.00 90.00°
Atoms (fractional coordinates):
Pr (0.000, 0.000, 0.000)
Sm (0.500, 0.500, 0.547)
Se (0.000, 0.000, 0.639)
Se (0.000, 0.500, 0.276)
Se (0.500, 0.000, 0.276)
Se (0.500, 0.500, 0.901)

Properties
total DFT energy (no corrections)	-5.5149	eV/atom

2.
Computed, not measured: crystalline PrSm2Se3 at its relaxed geometry at the PBE level of DFT.

Cell: 4.190 4.190 10.306 Å, 90.00 90.00 120.00°
Atoms (fractional coordinates):
Pr (0.000, 0.000, 0.000)
Sm (0.333, 0.667, 0.664)
Sm (0.667, 0.333, 0.336)
Se (0.000, 0.000, 0.500)
Se (0.333, 0.667, 0.173)
Se (0.667, 0.333, 0.827)

Properties
total DFT energy (no corrections)	-5.9384	eV/atom

3.
Computed, not measured: crystalline PrSn2Se3 at its relaxed geometry at the PBE level of DFT.

Cell: 4.312 4.312 10.635 Å, 90.00 90.00 120.00°
Atoms (fractional coordinates):
Pr (0.000, 0.000, 0.000)
Sn (0.333, 0.667, 0.659)
Sn (0.667, 0.333, 0.341)
Se (0.000, 0.000, 0.500)
Se (0.333, 0.667, 0.164)
Se (0.667, 0.333, 0.836)

Properties
total DFT energy (no corrections)	-4.7067	eV/atom

4.
Computed, not measured: crystalline PrTlSnSe3 at its relaxed geometry at the PBE level of DFT.

Cell: 8.046 8.046 11.879 Å, 90.00 90.00 149.12°
Atoms (fractional coordinates):
Pr (0.000, 0.000, 0.000)
Pr (0.000, 0.000, 0.500)
Tl (0.310, 0.690, 0.750)
Tl (0.690, 0.310, 0.250)
Sn (0.372, 0.628, 0.250)
Sn (0.628, 0.372, 0.750)
Se (0.010, 0.990, 0.750)
Se (0.368, 0.632, 0.004)
Se (0.368, 0.632, 0.496)
Se (0.632, 0.368, 0.504)
Se (0.632, 0.368, 0.996)
Se (0.990, 0.010, 0.250)

Properties
total DFT energy (no corrections)	-4.5187	eV/atom